A plane-wave DFT calculation with PBE-GGA was carried out for a relaxed Ta2TcOs crystal.

Calculated values
Energy of formation in kcal/mol of atoms: -9.024

The structure in CIF format:
```
data_Ta2TcOs
_chemical_formula_sum 'Ta2 Tc1 Os1'
_symmetry_space_group_name_H-M 'P 4/m m m'
_symmetry_Int_Tables_number 123
_symmetry_space_group_name_Hall '-P 4 2'
_cell_length_a 4.487
_cell_length_b 4.487
_cell_length_c 3.215
_cell_angle_alpha 90.00
_cell_angle_beta 90.00
_cell_angle_gamma 90.00
loop_
_atom_site_label
_atom_site_fract_x
_atom_site_fract_y
_atom_site_fract_z
Ta1 0.000 0.500 0.000
Tc1 0.000 0.000 0.500
Os1 0.500 0.500 0.500
```

=====

A plane-wave DFT calculation with PBE-GGA was carried out for a relaxed HfMgBe2 crystal.

Calculated values
Energy of formation in kcal/mol of atoms: 14.823

The structure in CIF format:
```
data_HfMgBe2
_chemical_formula_sum 'Hf4 Mg4 Be8'
_symmetry_space_group_name_H-M 'I -4 2 d'
_symmetry_Int_Tables_number 122
_symmetry_space_group_name_Hall 'I -4 2bw'
_cell_length_a 6.753
_cell_length_b 6.753
_cell_length_c 5.775
_cell_angle_alpha 90.00
_cell_angle_beta 90.00
_cell_angle_gamma 90.00
loop_
_atom_site_label
_atom_site_fract_x
_atom_site_fract_y
_atom_site_fract_z
Hf1 0.000 0.000 0.000
Mg1 0.000 0.000 0.500
Be1 0.239 0.250 0.625
```

=====

A plane-wave DFT calculation with PBE-GGA was carried out for a relaxed YCuIr2 crystal.

Calculated values
Energy of formation in kcal/mol of atoms: -3.848
Relative energy among the computed polymorphs in meV per atom: 124

The structure in CIF format:
```
data_YCuIr2
_chemical_formula_sum 'Y1 Cu1 Ir2'
_symmetry_space_group_name_H-M 'P 4/m m m'
_symmetry_Int_Tables_number 123
_symmetry_space_group_name_Hall '-P 4 2'
_cell_length_a 3.266
_cell_length_b 3.266
_cell_length_c 6.290
_cell_angle_alpha 90.00
_cell_angle_beta 90.00
_cell_angle_gamma 90.00
loop_
_atom_site_label
_atom_site_fract_x
_atom_site_fract_y
_atom_site_fract_z
Y1 0.000 0.000 0.000
Cu1 0.000 0.000 0.500
Ir1 0.500 0.500 0.288
```

=====

A plane-wave DFT calculation with PBE-GGA was carried out for a relaxed LiTbSb2 crystal.

Calculated values
Relative energy among the computed polymorphs in meV per atom: 145

The structure in CIF format:
```
data_LiTbSb2
_chemical_formula_sum 'Li1 Tb1 Sb2'
_symmetry_space_group_name_H-M 'P 4/m m m'
_symmetry_Int_Tables_number 123
_symmetry_space_group_name_Hall '-P 4 2'
_cell_length_a 4.858
_cell_length_b 4.858
_cell_length_c 4.201
_cell_angle_alpha 90.00
_cell_angle_beta 90.00
_cell_angle_gamma 90.00
loop_
_atom_site_label
_atom_site_fract_x
_atom_site_fract_y
_atom_site_fract_z
Li1 0.000 0.000 0.000
Tb1 0.500 0.500 0.000
Sb1 0.000 0.500 0.500
```

=====

What did the second record say?
A plane-wave DFT calculation with PBE-GGA was carried out for a relaxed HfMgBe2 crystal.

Calculated values
Energy of formation in kcal/mol of atoms: 14.823

The structure in CIF format:
```
data_HfMgBe2
_chemical_formula_sum 'Hf4 Mg4 Be8'
_symmetry_space_group_name_H-M 'I -4 2 d'
_symmetry_Int_Tables_number 122
_symmetry_space_group_name_Hall 'I -4 2bw'
_cell_length_a 6.753
_cell_length_b 6.753
_cell_length_c 5.775
_cell_angle_alpha 90.00
_cell_angle_beta 90.00
_cell_angle_gamma 90.00
loop_
_atom_site_label
_atom_site_fract_x
_atom_site_fract_y
_atom_site_fract_z
Hf1 0.000 0.000 0.000
Mg1 0.000 0.000 0.500
Be1 0.239 0.250 0.625
```